First-principles (PBE) data for Mn2Bi2Au after structural relaxation, as listed in the Alexandria database.

Lattice parameters (Å, degrees): 7.244 7.244 4.052 90.00 90.00 90.00
Fractional positions:
1 Mn 0.132 0.368 0.000
2 Mn 0.368 0.868 0.000
3 Mn 0.632 0.132 0.000
4 Mn 0.868 0.632 0.000
5 Bi 0.171 0.671 0.500
6 Bi 0.329 0.171 0.500
7 Bi 0.671 0.829 0.500
8 Bi 0.829 0.329 0.500
9 Au 0.000 0.000 0.000
10 Au 0.500 0.500 0.000

Calculated values
DOS at the Fermi energy ... 2.539 states/eV/f.u.
Relative energy among the computed polymorphs ... 0 meV per atom
Formation enthalpy at 0 K ... 0.2268 eV/atom